(i)
Computed, not measured: Sc4CdCu after structural relaxation at the PBE level of DFT.

Cell lengths 3.2803, 3.2803, 12.0155 Å; angles 90.00, 90.00, 90.00 degrees
Each line ends with the local moment (μB).
Positions (direct):
1 Sc 0.0000 0.0000 0.3649  0.27
2 Sc 0.5000 0.5000 0.8275  0.35
3 Sc 0.5000 0.5000 0.1725  0.35
4 Cu 0.5000 0.5000 0.5000  0.04
5 Sc 0.0000 0.0000 0.6351  0.27
6 Cd 0.0000 0.0000 0.0000  0.01

---

(ii)
Computed, not measured: Sc4CdCu after structural relaxation at the PBE level of DFT.

Cell lengths 5.7617, 5.7617, 5.7617 Å; angles 60.00, 60.00, 60.00 degrees
Positions (direct):
1 Sc 0.8747 0.3751 0.3751
2 Cu 0.0000 0.0000 0.0000
3 Cd 0.7500 0.7500 0.7500
4 Sc 0.3751 0.8747 0.3751
5 Sc 0.3751 0.3751 0.3751
6 Sc 0.3751 0.3751 0.8747

---

(iii)
Computed, not measured: Sc4CdCu after structural relaxation at the PBE level of DFT.

Cell lengths 4.6804, 4.6882, 8.1019 Å; angles 73.15, 73.21, 60.06 degrees
Positions (direct):
1 Sc 0.3676 0.3673 0.8976
2 Sc 0.8834 0.8848 0.3483
3 Sc 0.1166 0.1152 0.6517
4 Cu 0.0000 0.0000 0.0000
5 Sc 0.6324 0.6327 0.1024
6 Cd 0.5000 0.5000 0.5000

---

Top of the stability list: (i), leading by 26.5 kJ/mol of atoms.

---

(i)
Computed, not measured: Sc3CdCu after structural relaxation at the PBE level of DFT.

Cell lengths 5.2606, 5.2606, 5.2606 Å; angles 90.00, 90.00, 90.00 degrees
Positions (direct):
1 Sc 0.0000 0.5000 0.0000
2 Cd 0.0000 0.0000 0.0000
3 Cu 0.5000 0.5000 0.5000
4 Sc 0.5000 0.0000 0.0000
5 Sc 0.0000 0.0000 0.5000

---

(ii)
Computed, not measured: Sc3CdCu after structural relaxation at the PBE level of DFT.

Cell lengths 4.9708, 4.9708, 4.9708 Å; angles 90.00, 90.00, 90.00 degrees
Each line ends with the local moment (μB).
Positions (direct):
1 Sc 0.0000 0.0000 0.5000  0.09
2 Sc 0.5000 0.0000 0.0000  0.21
3 Sc 0.0000 0.5000 0.0000  0.17
4 Cu 0.0000 0.0000 0.0000  0.03
5 Cd 0.5000 0.5000 0.5000  0.02

---

Top of the stability list: (ii), leading by 64.4 kJ/mol of atoms.

---

(i)
Computed, not measured: ScCd4Cu after structural relaxation at the PBE level of DFT.

Cell lengths 5.6711, 5.6711, 5.6711 Å; angles 60.00, 60.00, 60.00 degrees
Positions (direct):
1 Cd 0.3749 0.3749 0.3749
2 Cu 0.7500 0.7500 0.7500
3 Sc 0.0000 0.0000 0.0000
4 Cd 0.8752 0.3749 0.3749
5 Cd 0.3749 0.8752 0.3749
6 Cd 0.3749 0.3749 0.8752

---

(ii)
Computed, not measured: ScCd4Cu after structural relaxation at the PBE level of DFT.

Cell lengths 5.1611, 6.9623, 8.2667 Å; angles 114.90, 108.23, 90.00 degrees
Positions (direct):
1 Cd 0.3746 0.6488 0.7498
2 Cd 0.3746 0.1010 0.7498
3 Cu 0.2696 0.4999 0.9998
4 Cd 0.6254 0.8990 0.2502
5 Cd 0.6254 0.3512 0.2502
6 Cu 0.7304 0.5001 0.0002
7 Cd 0.0000 0.1897 0.0000
8 Cd 0.8258 0.3261 0.6523
9 Sc 0.7992 0.7993 0.5985
10 Cd 0.0000 0.8103 0.0000
11 Sc 0.2008 0.2007 0.4015
12 Cd 0.1742 0.6739 0.3477

---

Top of the stability list: (ii), leading by 17.1 kJ/mol of atoms.

---

(i)
Computed, not measured: ScCdCu2Se after structural relaxation at the PBE level of DFT.

Cell lengths 4.5323, 4.5323, 5.5147 Å; angles 90.00, 90.00, 90.00 degrees
Positions (direct):
1 Cu 0.5000 0.0000 0.0000
2 Cd 0.0000 0.0000 0.5000
3 Sc 0.5000 0.5000 0.5000
4 Se 0.0000 0.0000 0.0000
5 Cu 0.0000 0.5000 0.0000

---

(ii)
Computed, not measured: ScCdCu2Se after structural relaxation at the PBE level of DFT.

Cell lengths 4.6843, 5.4948, 4.6843 Å; angles 90.00, 90.00, 90.00 degrees
Positions (direct):
1 Cu 0.0000 0.0000 0.5000
2 Cd 0.0000 0.0000 0.0000
3 Cu 0.5000 0.0000 0.0000
4 Sc 0.0000 0.5000 0.0000
5 Se 0.5000 0.5000 0.5000

---

Top of the stability list: (i), leading by 8.8 kJ/mol of atoms.

---

(i)
Computed, not measured: TbScCdCu after structural relaxation at the PBE level of DFT.

Cell lengths 4.9935, 4.9935, 4.9935 Å; angles 60.00, 60.00, 60.00 degrees
Positions (direct):
1 Cu 0.2500 0.2500 0.2500
2 Cd 0.7500 0.7500 0.7500
3 Sc 0.0000 0.0000 0.0000
4 Tb 0.5000 0.5000 0.5000

---

(ii)
Computed, not measured: TbScCdCu after structural relaxation at the PBE level of DFT.

Cell lengths 3.3950, 3.3950, 7.5309 Å; angles 90.00, 90.00, 90.00 degrees
Positions (direct):
1 Cd 0.0000 0.0000 0.0931
2 Tb 0.5000 0.5000 0.7934
3 Sc 0.5000 0.5000 0.3538
4 Cu 0.0000 0.0000 0.5443

---

Top of the stability list: (ii), leading by 6.0 kJ/mol of atoms.

---

(i)
Computed, not measured: ThScCdCu after structural relaxation at the PBE level of DFT.

Cell lengths 3.3837, 3.3837, 7.8308 Å; angles 90.00, 90.00, 90.00 degrees
Positions (direct):
1 Th 0.5000 0.5000 0.7957
2 Cu 0.0000 0.0000 0.5313
3 Cd 0.0000 0.0000 0.1047
4 Sc 0.5000 0.5000 0.3531

---

(ii)
Computed, not measured: ThScCdCu after structural relaxation at the PBE level of DFT.

Cell lengths 5.0944, 5.0944, 5.0944 Å; angles 60.00, 60.00, 60.00 degrees
Each line ends with the local moment (μB).
Positions (direct):
1 Th 0.5000 0.5000 0.5000  0.15
2 Cu 0.2500 0.2500 0.2500  0.04
3 Sc 0.0000 0.0000 0.0000  0.24
4 Cd 0.7500 0.7500 0.7500  0.01

---

Top of the stability list: (i), leading by 11.1 kJ/mol of atoms.

---

(i)
Computed, not measured: TmScCdCu after structural relaxation at the PBE level of DFT.

Cell lengths 4.9451, 4.9451, 4.9451 Å; angles 60.00, 60.00, 60.00 degrees
Positions (direct):
1 Cu 0.2500 0.2500 0.2500
2 Cd 0.7500 0.7500 0.7500
3 Tm 0.0000 0.0000 0.0000
4 Sc 0.5000 0.5000 0.5000

---

(ii)
Computed, not measured: TmScCdCu after structural relaxation at the PBE level of DFT.

Cell lengths 3.3747, 3.3747, 7.4319 Å; angles 90.00, 90.00, 90.00 degrees
Positions (direct):
1 Sc 0.5000 0.5000 0.3529
2 Tm 0.5000 0.5000 0.7915
3 Cu 0.0000 0.0000 0.5538
4 Cd 0.0000 0.0000 0.0865

---

Top of the stability list: (ii), leading by 6.2 kJ/mol of atoms.

---

(i)
Computed, not measured: ZrScCdCu after structural relaxation at the PBE level of DFT.

Cell lengths 3.2480, 3.2480, 7.4853 Å; angles 90.00, 90.00, 90.00 degrees
Each line ends with the local moment (μB).
Positions (direct):
1 Cd 0.0000 0.0000 0.0775  0.01
2 Sc 0.5000 0.5000 0.3540  0.06
3 Cu 0.0000 0.0000 0.5606  0.04
4 Zr 0.5000 0.5000 0.7926  0.33

---

(ii)
Computed, not measured: ZrScCdCu after structural relaxation at the PBE level of DFT.

Cell lengths 4.8289, 4.8289, 4.8289 Å; angles 60.00, 60.00, 60.00 degrees
Each line ends with the local moment (μB).
Positions (direct):
1 Sc 0.0000 0.0000 0.0000  0.23
2 Cd 0.7500 0.7500 0.7500  0.01
3 Cu 0.2500 0.2500 0.2500  0.05
4 Zr 0.5000 0.5000 0.5000  0.33

---

Top of the stability list: (i), leading by 7.9 kJ/mol of atoms.

---

(i)
Computed, not measured: Cd2Cu2Se after structural relaxation at the PBE level of DFT.

Cell lengths 8.2412, 8.2412, 2.7878 Å; angles 90.00, 90.00, 90.00 degrees
Positions (direct):
1 Cd 0.3125 0.8125 0.0000
2 Cu 0.8951 0.3951 0.5000
3 Se 0.5000 0.5000 0.0000
4 Cu 0.3951 0.1049 0.5000
5 Se 0.0000 0.0000 0.0000
6 Cu 0.1049 0.6049 0.5000
7 Cd 0.1875 0.3125 0.0000
8 Cd 0.8125 0.6875 0.0000
9 Cu 0.6049 0.8951 0.5000
10 Cd 0.6875 0.1875 0.0000

---

(ii)
Computed, not measured: Cd2Cu2Se after structural relaxation at the PBE level of DFT.

Cell lengths 6.7417, 6.7417, 4.0332 Å; angles 90.00, 90.00, 90.00 degrees
Positions (direct):
1 Cu 0.1334 0.3666 0.0000
2 Cu 0.8666 0.6334 0.0000
3 Cu 0.3666 0.8666 0.0000
4 Se 0.0000 0.0000 0.0000
5 Cu 0.6334 0.1334 0.0000
6 Se 0.5000 0.5000 0.0000
7 Cd 0.3406 0.1594 0.5000
8 Cd 0.8406 0.3406 0.5000
9 Cd 0.6594 0.8406 0.5000
10 Cd 0.1594 0.6594 0.5000

---

Top of the stability list: (ii), leading by 11.3 kJ/mol of atoms.

---

(i)
Computed, not measured: CdCu2Se after structural relaxation at the PBE level of DFT.

Cell lengths 4.0191, 4.3179, 3.8441 Å; angles 90.00, 90.00, 90.00 degrees
Positions (direct):
1 Cu 0.5000 0.5000 0.0000
2 Se 0.5000 0.0000 0.5000
3 Cd 0.0000 0.5000 0.5000
4 Cu 0.0000 0.0000 0.0000

---

(ii)
Computed, not measured: CdCu2Se after structural relaxation at the PBE level of DFT.

Cell lengths 9.5979, 9.5979, 9.5979 Å; angles 17.70, 17.70, 17.70 degrees
Positions (direct):
1 Cu 0.9882 0.9882 0.9882
2 Cu 0.2553 0.2553 0.2553
3 Se 0.5215 0.5215 0.5215
4 Cd 0.7350 0.7350 0.7350

---

(iii)
Computed, not measured: CdCu2Se after structural relaxation at the PBE level of DFT.

Cell lengths 3.7893, 3.7893, 6.3115 Å; angles 71.46, 71.46, 61.22 degrees
Positions (direct):
1 Cd 0.2500 0.2500 0.2500
2 Cu 0.4848 0.4848 0.5429
3 Se 0.7500 0.7500 0.7500
4 Cu 0.0152 0.0152 0.9571

---

Top of the stability list: (iii), leading by 2.9 kJ/mol of atoms.

---

(i)
Computed, not measured: CdCu2Se2 after structural relaxation at the PBE level of DFT.

Cell lengths 4.0969, 4.0969, 6.3701 Å; angles 71.24, 71.24, 90.00 degrees
Positions (direct):
1 Cd 0.0000 0.0000 0.0000
2 Se 0.2500 0.7500 0.5000
3 Se 0.7500 0.2500 0.5000
4 Cu 0.3924 0.3924 0.2153
5 Cu 0.6076 0.6076 0.7847

---

(ii)
Computed, not measured: CdCu2Se2 after structural relaxation at the PBE level of DFT.

Cell lengths 4.0256, 4.0256, 6.9573 Å; angles 90.00, 90.00, 120.00 degrees
Positions (direct):
1 Cu 0.3333 0.6667 0.4049
2 Cd 0.0000 0.0000 0.0000
3 Se 0.3333 0.6667 0.7547
4 Cu 0.6667 0.3333 0.5951
5 Se 0.6667 0.3333 0.2453

---

(iii)
Computed, not measured: CdCu2Se2 after structural relaxation at the PBE level of DFT.

Cell lengths 3.7622, 3.7622, 7.3524 Å; angles 75.18, 75.18, 90.00 degrees
Positions (direct):
1 Cd 0.0000 0.0000 0.0000
2 Cu 0.2500 0.7500 0.5000
3 Cu 0.7500 0.2500 0.5000
4 Se 0.3700 0.3700 0.2600
5 Se 0.6300 0.6300 0.7400

---

Top of the stability list: (ii), leading by 10.2 kJ/mol of atoms.

---

(i)
Computed, not measured: CdCu2Si after structural relaxation at the PBE level of DFT.

Cell lengths 4.0516, 2.9112, 5.1994 Å; angles 90.00, 90.00, 90.00 degrees
Positions (direct):
1 Cu 0.0000 0.1253 0.0099
2 Cd 0.5000 0.6250 0.7900
3 Si 0.0000 0.6249 0.3873
4 Cu 0.5000 0.1248 0.3128

---

(ii)
Computed, not measured: CdCu2Si after structural relaxation at the PBE level of DFT.

Cell lengths 2.7774, 2.7774, 8.0356 Å; angles 90.00, 90.00, 90.01 degrees
Positions (direct):
1 Cu 0.5000 0.5000 0.2426
2 Si 0.0000 0.0000 0.4430
3 Cd 0.5000 0.5000 0.7800
4 Cu 0.0000 0.0000 0.0345

---

(iii)
Computed, not measured: CdCu2Si after structural relaxation at the PBE level of DFT.

Cell lengths 4.4895, 4.4895, 4.7630 Å; angles 80.01, 80.01, 41.52 degrees
Positions (direct):
1 Cd 0.7446 0.7446 0.7658
2 Si 0.5189 0.5189 0.4184
3 Cu 0.9868 0.9868 0.0545
4 Cu 0.2497 0.2497 0.2613

---

Top of the stability list: (i), leading by 2.3 kJ/mol of atoms.